1.
Entry from the Alexandria database: crystalline ZrBeIr2 at its relaxed geometry (GGA-PBE).

Properties
formation energy	-0.624	eV/atom
mass density	13.7	Mg/m³

Cell: 3.0627 3.0627 6.2566 Å, 90.00 90.00 90.00°
With the nearest neighbours (Å) after each atom.
Element x y z (fractional)
Zr  0.5000  0.5000  0.2500  8 Ir 2.81, 4 Zr 3.06, 2 Be 3.13
Ir  0.0000  0.0000  0.9650  4 Be 2.55, 1 Ir 2.69, 4 Zr 2.81
Ir  0.0000  0.0000  0.5350  4 Be 2.55, 1 Ir 2.69, 4 Zr 2.81
Be  0.5000  0.5000  0.7500  8 Ir 2.55

=====

2.
Entry from the Alexandria database: crystalline ZrBeIr2 at its relaxed geometry (GGA-PBE).

Properties
formation energy	-0.413	eV/atom
mass density	13.1	Mg/m³

Cell: 2.9356 3.6620 5.7304 Å, 90.00 90.00 90.00°
With the nearest neighbours (Å) after each atom.
Element x y z (fractional)
Ir  0.5000  0.5000  0.2469  1 Be 2.42
Ir  0.0000  0.0000  0.9392  4 Be 2.44, 1 Zr 2.58
Zr  0.0000  0.0000  0.4890  5 Ir 2.58-2.73
Be  0.5000  0.5000  0.8249  5 Ir 2.42-2.44

=====

3.
Entry from the Alexandria database: crystalline ZrBeIr2 at its relaxed geometry (GGA-PBE).

Properties
formation energy	0.066	eV/atom
mass density	13.3	Mg/m³

Cell: 8.9496 8.9496 8.9496 Å, 18.13 18.13 18.13°
With the nearest neighbours (Å) after each atom.
Element x y z (fractional)
Zr  0.4967  0.4967  0.4967  6 Zr 2.82, 3 Be 2.89, 3 Ir 2.93
Be  0.7397  0.7397  0.7397  3 Ir 2.37
Ir  0.2555  0.2555  0.2555  9 Ir 2.79-2.82, 3 Zr 2.93
Ir  0.0080  0.0080  0.0080  3 Be 2.37

=====

4.
Entry from the Alexandria database: crystalline ZrBe2Ir at its relaxed geometry (GGA-PBE).

Properties
formation energy	0.038	eV/atom
mass density	8.7	Mg/m³

Cell: 8.1204 8.1204 8.1204 Å, 20.45 20.45 20.45°
With the nearest neighbours (Å) after each atom.
Element x y z (fractional)
Be  0.5144  0.5144  0.5144  3 Ir 2.34
Be  0.9856  0.9856  0.9856  3 Ir 2.34
Ir  0.2500  0.2500  0.2500  6 Be 2.34
Zr  0.7500  0.7500  0.7500  6 Be 2.86, 6 Zr 2.88

=====

5.
Entry from the Alexandria database: crystalline ZrBeIr2 at its relaxed geometry (GGA-PBE).

Properties
formation energy	-0.280	eV/atom
mass density	13.7	Mg/m³

Cell: 8.0712 8.0712 8.0712 Å, 20.96 20.96 20.96°
With the nearest neighbours (Å) after each atom.
Element x y z (fractional)
Zr  0.2500  0.2500  0.2500  6 Ir 2.88, 6 Zr 2.94
Ir  0.0149  0.0149  0.0149  3 Be 2.34
Ir  0.4851  0.4851  0.4851  3 Be 2.34
Be  0.7500  0.7500  0.7500  6 Ir 2.34

=====

6.
Entry from the Alexandria database: crystalline ZrBeIr2 at its relaxed geometry (GGA-PBE).

Properties
formation energy	-0.206	eV/atom
mass density	13.2	Mg/m³

Cell: 5.1519 5.1519 2.8348 Å, 75.71 75.71 114.50°
With the nearest neighbours (Å) after each atom.
Element x y z (fractional)
Ir  0.5000  0.5000  0.0000  2 Zr 2.62, 2 Be 2.62, 4 Ir 2.79-2.83
Ir  0.0000  0.0000  0.0000  2 Be 2.62, 2 Zr 2.62, 4 Ir 2.79-2.83
Be  0.0000  0.5000  0.5000  4 Ir 2.62, 2 Zr 2.79, 2 Be 2.83
Zr  0.5000  0.0000  0.5000  4 Ir 2.62, 2 Be 2.79, 2 Zr 2.83

=====

7.
Entry from the Alexandria database: crystalline Zr3Be2Ir5 at its relaxed geometry (GGA-PBE).

Properties
formation energy	-0.873	eV/atom
mass density	13.6	Mg/m³

Cell: 3.3920 9.4918 9.4918 Å, 90.00 90.00 90.00°
With the nearest neighbours (Å) after each atom.
Element x y z (fractional)
Zr  0.0000  0.0000  0.0000  8 Ir 2.76
Zr  0.0000  0.6752  0.1752  3 Be 2.76-2.84, 10 Ir 2.90-3.07
Zr  0.0000  0.5000  0.5000  8 Ir 2.76
Zr  0.0000  0.8248  0.6752  3 Be 2.76-2.84, 10 Ir 2.90-3.07
Zr  0.0000  0.1752  0.3248  3 Be 2.76-2.84, 10 Ir 2.90-3.07
Zr  0.0000  0.3248  0.8248  3 Be 2.76-2.84, 10 Ir 2.90-3.07
Ir  0.5000  0.9279  0.2175  2 Be 2.34
Ir  0.5000  0.7825  0.9279  2 Be 2.34
Ir  0.5000  0.7175  0.4279  2 Be 2.34
Ir  0.5000  0.4279  0.2825  2 Be 2.34
Ir  0.5000  0.0721  0.7825  2 Be 2.34
Ir  0.5000  0.5721  0.7175  2 Be 2.34
Ir  0.5000  0.2825  0.5721  2 Be 2.34
Ir  0.5000  0.2175  0.0721  2 Be 2.34
Ir  0.5000  0.0000  0.5000  4 Be 2.33
Ir  0.5000  0.5000  0.0000  4 Be 2.33
Be  0.0000  0.3811  0.1189  6 Ir 2.33-2.34
Be  0.0000  0.1189  0.6189  6 Ir 2.33-2.34
Be  0.0000  0.6189  0.8811  6 Ir 2.33-2.34
Be  0.0000  0.8811  0.3811  6 Ir 2.33-2.34

=====

8.
Entry from the Alexandria database: crystalline ZrBe2Ir at its relaxed geometry (GGA-PBE).

Properties
formation energy	-0.052	eV/atom
mass density	7.9	Mg/m³

Cell: 3.9919 3.9919 8.4200 Å, 76.29 76.29 90.00°
With the nearest neighbours (Å) after each atom.
Element x y z (fractional)
Zr  0.5000  0.5000  0.0000  4 Ir 2.82, 8 Be 2.98-2.99
Zr  0.2500  0.7500  0.5000  4 Ir 2.82, 8 Be 2.98-2.99
Be  0.3750  0.1254  0.7500  2 Be 2.00, 2 Ir 2.22
Be  0.8750  0.1246  0.7500  2 Be 2.00, 2 Ir 2.22
Be  0.8746  0.1250  0.2500  2 Be 2.00, 2 Ir 2.22
Be  0.8754  0.6250  0.2500  2 Be 2.00, 2 Ir 2.22
Ir  0.7500  0.2500  0.5000  4 Be 2.22
Ir  0.0000  0.0000  0.0000  4 Be 2.22